Na6Cd2Sn | PBE-GGA | relaxed

Summary:
* crystal system: tetragonal
* symmetry: P4_2/mnm (136)
* ΔH_f (0 K): -0.67 eV/f.u.

a = 4.6474 Å, b = 10.4896 Å, c = 10.4868 Å
α = 90.00°, β = 90.00°, γ = 90.00°
Fractional coordinates of all 18 atoms:
Na: 0.0000 0.3185 0.5046
Na: 0.5000 0.1657 0.6659
Cd: 0.4998 0.8451 0.6547
Sn: 0.5000 0.5000 0.0000
Na: 0.0000 0.6657 0.8340
Cd: 0.9998 0.6550 0.1548
Na: 0.5000 0.4957 0.3186
Na: 0.5000 0.5043 0.6814
Na: 0.0000 0.9957 0.1815
Na: 0.0000 0.0043 0.8185
Cd: 0.5002 0.1549 0.3453
Na: 0.5000 0.1815 0.0046
Na: 0.0000 0.6815 0.4954
Cd: 0.0002 0.3450 0.8452
Na: 0.0000 0.3343 0.1660
Na: 0.5000 0.8343 0.3341
Na: 0.5000 0.8185 0.9954
Sn: 0.0000 0.0000 0.5000


Na5Cd2Sn5 | PBE-GGA | relaxed

Summary:
* crystal system: monoclinic
* symmetry: C2/m (12)
* ΔH_f (0 K): -1.46 eV/f.u.

a = 5.4996 Å, b = 8.1918 Å, c = 9.7349 Å
α = 122.55°, β = 90.00°, γ = 109.61°
Fractional coordinates of all 12 atoms:
Sn: 0.0000 0.0000 0.0000
Na: 0.5000 0.0000 0.5000
Sn: 0.4105 0.8209 0.8084
Na: 0.6602 0.3203 0.9116
Cd: 0.9804 0.9608 0.6841
Sn: 0.8299 0.6599 0.3191
Sn: 0.5895 0.1791 0.1916
Na: 0.2467 0.4934 0.3772
Cd: 0.0196 0.0392 0.3159
Na: 0.7533 0.5066 0.6228
Na: 0.3398 0.6797 0.0884
Sn: 0.1701 0.3401 0.6809


Na2CdSn | PBE-GGA | relaxed

Summary:
* crystal system: tetragonal
* symmetry: I-42d (122)
* ΔH_f (0 K): 0.15 eV/f.u.

a = 8.7068 Å, b = 8.7068 Å, c = 6.8708 Å
α = 50.68°, β = 50.68°, γ = 90.00°
Fractional coordinates of all 8 atoms:
Cd: 0.2500 0.7500 0.5000
Sn: 0.7500 0.2500 0.5000
Na: 0.6196 0.1250 0.2500
Na: 0.8750 0.8696 0.7500
Na: 0.3750 0.3804 0.7500
Sn: 0.0000 0.0000 0.0000
Cd: 0.5000 0.5000 0.0000
Na: 0.1304 0.6250 0.2500


Na6CdSn | PBE-GGA | relaxed

Summary:
* crystal system: orthorhombic
* polymorph energy (0 for the lowest one): 0.000 eV per formula unit
* symmetry: Pmm2 (25)
* ΔH_f (0 K): -0.76 eV/f.u.

a = 5.6938 Å, b = 6.0311 Å, c = 6.8225 Å
α = 90.00°, β = 90.00°, γ = 90.00°
Fractional coordinates of all 8 atoms:
Cd: 0.0000 0.6811 0.0000
Na: 0.0000 0.1764 0.7467
Na: 0.5000 0.8293 0.7405
Na: 0.5000 0.3550 0.0000
Na: 0.5000 0.8293 0.2595
Na: 0.0000 0.1764 0.2533
Na: 0.0000 0.6290 0.5000
Sn: 0.5000 0.3235 0.5000


NaCd3Sn2 | PBE-GGA | relaxed

Summary:
* crystal system: monoclinic
* symmetry: C2/m (12)
* ΔH_f (0 K): -0.38 eV/f.u.

a = 4.8449 Å, b = 9.7975 Å, c = 7.6753 Å
α = 115.76°, β = 90.00°, γ = 104.31°
Fractional coordinates of all 12 atoms:
Cd: 0.6952 0.3904 0.4831
Sn: 0.2357 0.4714 0.7961
Cd: 0.3648 0.7296 0.2124
Sn: 0.4840 0.9681 0.7927
Na: 0.8827 0.7653 0.9262
Cd: 0.3048 0.6096 0.5169
Na: 0.1173 0.2347 0.0738
Sn: 0.5160 0.0319 0.2073
Cd: 0.6352 0.2704 0.7876
Sn: 0.7643 0.5286 0.2039
Cd: 0.9321 0.8642 0.5441
Cd: 0.0679 0.1358 0.4559


NaCd2Sn | PBE-GGA | relaxed

Summary:
* crystal system: orthorhombic
* symmetry: Immm (71)
* ΔH_f (0 K): -0.21 eV/f.u.

a = 4.7355 Å, b = 10.1247 Å, c = 11.1040 Å
α = 117.12°, β = 102.31°, γ = 90.00°
Fractional coordinates of all 16 atoms:
Na: 0.3018 0.3018 0.6037
Na: 0.5000 0.2607 0.0000
Cd: 0.0716 0.5716 0.1432
Na: 0.6982 0.6982 0.3963
Cd: 0.0773 0.0773 0.1546
Cd: 0.7077 0.0603 0.4154
Sn: 0.1413 0.8857 0.2826
Cd: 0.2923 0.6449 0.5846
Cd: 0.9227 0.9227 0.8454
Sn: 0.8587 0.6031 0.7174
Sn: 0.8587 0.1143 0.7174
Sn: 0.1413 0.3969 0.2826
Cd: 0.9284 0.4284 0.8568
Na: 0.5000 0.7393 0.0000
Cd: 0.7077 0.3551 0.4154
Cd: 0.2923 0.9397 0.5846


NaCd6Sn2 | PBE-GGA | relaxed

Summary:
* crystal system: tetragonal
* polymorph energy (0 for the lowest one): 0.000 eV per formula unit
* symmetry: P4/mmm (123)
* ΔH_f (0 K): -0.12 eV/f.u.

a = 4.5498 Å, b = 4.5498 Å, c = 11.1489 Å
α = 90.00°, β = 90.00°, γ = 90.00°
Fractional coordinates of all 9 atoms:
Cd: 0.5000 0.0000 0.3038
Sn: 0.5000 0.5000 0.8689
Cd: 0.5000 0.5000 0.5000
Cd: 0.0000 0.5000 0.6962
Sn: 0.5000 0.5000 0.1311
Cd: 0.0000 0.5000 0.3038
Na: 0.0000 0.0000 0.0000
Cd: 0.5000 0.0000 0.6962
Cd: 0.0000 0.0000 0.5000


Na2CdSn6 | PBE-GGA | relaxed

Summary:
* crystal system: monoclinic
* polymorph energy (0 for the lowest one): 0.000 eV per formula unit
* symmetry: C2/m (12)
* ΔH_f (0 K): -0.67 eV/f.u.

a = 6.4445 Å, b = 6.7456 Å, c = 6.7456 Å
α = 62.73°, β = 86.93°, γ = 86.93°
Fractional coordinates of all 9 atoms:
Na: 0.1516 0.3339 0.3339
Sn: 0.6825 0.1856 0.6383
Sn: 0.6825 0.6383 0.1856
Na: 0.8484 0.6661 0.6661
Sn: 0.3175 0.8144 0.3617
Cd: 0.0000 0.0000 0.0000
Sn: 0.6459 0.1778 0.1778
Sn: 0.3541 0.8222 0.8222
Sn: 0.3175 0.3617 0.8144